# 1
Crystalline Cu2RhF6 at its relaxed geometry. Source: Alexandria via LeMat-Bulk, functional PBE-GGA.

The space group is P2_1/c (No. 14) and the conventional cell measures 5.746, 4.795 and 10.493 Å, with angles of 90.00, 123.21 and 90.00 degrees. The asymmetric unit holds Cu at (0.186, 0.000, 0.187), Rh at (0.500, 0.000, 0.000), F at (0.178, 0.175, 0.000), F at (0.190, 0.742, 0.336) and F at (0.481, 0.241, 0.836).

The raw formation energy is -1436 meV/atom. The calculation puts the total magnetization at 0.1115 μB/atom.



# 2
Crystalline TcMo3W at its relaxed geometry. Source: Alexandria via LeMat-Bulk, functional PBE-GGA.

The space group is C2/m (No. 12) and the conventional cell measures 13.821, 4.413 and 5.379 Å, with angles of 90.00, 105.12 and 90.00 degrees. The asymmetric unit holds Tc at (0.000, 0.000, 0.000), Tc at (0.000, 0.000, 0.500), Mo at (0.099, 0.500, 0.396), Mo at (0.099, 0.500, 0.897), Mo at (0.202, 0.000, 0.139) and W at (0.202, 0.000, 0.639).

The value obtained for the formation energy from the elements is 0.16 eV per atom. The polymorph energy (0 for the lowest one) is 0.000 kcal/mol of atoms. The calculation puts the total magnetization at 0.0000 μB/atom.



# 3
Crystalline KTa2Br at its relaxed geometry. Source: Alexandria via LeMat-Bulk, functional PBE-GGA.

The space group is Amm2 (No. 38) and the conventional cell measures 3.311, 3.444 and 18.127 Å, with angles of 90.00, 90.00 and 90.00 degrees. The asymmetric unit holds K at (0.000, 0.000, 0.000), Ta at (0.000, 0.000, 0.751), Ta at (0.500, 0.000, 0.327) and Br at (0.500, 0.000, 0.623).

The polymorph energy (0 for the lowest one) is 0.000 kcal/mol of atoms. The raw formation energy is 205 meV/atom. The calculation puts the total magnetization at 0.0000 μB/atom.



The E_tot results, record by record, are as follows: -39.692; -55.025; -25.656 eV/f.u..